Record 1
A geometry-optimized AgSnPb2Se4 structure. Source: the Alexandria database, functional PBE.

Computed properties:
formation energy without anion corrections: -376 meV per atom
calculated density: 7451 kg/m³
total magnetization: 0.00 μB/f.u.
crystal system: monoclinic

The structure in CIF format:
```
data_AgSnPb2Se4
_space_group_name_H-M_alt 'P 1 2/m 1'
_space_group_IT_number 10
_cell_length_a 7.296
_cell_length_b 4.228
_cell_length_c 7.325
_cell_angle_alpha 90.00
_cell_angle_beta 109.32
_cell_angle_gamma 90.00
loop_
_space_group_symop_operation_xyz
'x,y,z'
'-x,-y,-z'
'-x,y,-z'
'x,-y,z'
loop_
_atom_site_label
_atom_site_type_symbol
_atom_site_fract_x
_atom_site_fract_y
_atom_site_fract_z
Ag1 Ag 0.000 0.000 0.000
Sn1 Sn 0.000 0.500 0.500
Pb1 Pb 0.500 0.000 0.500
Pb2 Pb 0.500 0.500 0.000
Se1 Se 0.230 0.500 0.240
Se2 Se 0.233 0.000 0.749
```

***

Record 2
A geometry-optimized K4Ac3CrS8 structure. Source: the Alexandria database, functional PBE.

Computed properties:
formation energy without anion corrections: -1548 meV per atom
calculated density: 4100 kg/m³
total magnetization: 3.00 μB/f.u.
crystal system: trigonal

The structure in CIF format:
```
data_K4Ac3CrS8
_space_group_name_H-M_alt 'R -3 m'
_space_group_IT_number 166
_space_group_name_Hall '-R 3 2"'
_cell_length_a 8.4976
_cell_length_b 8.4976
_cell_length_c 22.2622
_cell_angle_alpha 90.00
_cell_angle_beta 90.00
_cell_angle_gamma 120.00
loop_
_atom_site_label
_atom_site_type_symbol
_atom_site_fract_x
_atom_site_fract_y
_atom_site_fract_z
K1 K 0.0000 0.0000 0.0000
K2 K 0.0000 0.5000 0.0000
Ac1 Ac 0.0000 0.5000 0.5000
Cr1 Cr 0.0000 0.0000 0.5000
S1 S 0.0000 0.0000 0.2405
S2 S 0.0382 0.5191 0.2328
```

***

Record 3
A geometry-optimized PuCdInAg structure. Source: the Alexandria database, functional PBE.

Computed properties:
calculated density: 10271 kg/m³
total magnetization: 5.67 μB/f.u.
energy of formation from the pure elements: -0.054 eV/atom
crystal system: cubic

The structure in CIF format:
```
data_PuCdInAg
_space_group_name_H-M_alt 'F -4 3 m'
_space_group_IT_number 216
_space_group_name_Hall 'F -4 2 3'
_cell_length_a 7.208
_cell_length_b 7.208
_cell_length_c 7.208
_cell_angle_alpha 90.00
_cell_angle_beta 90.00
_cell_angle_gamma 90.00
loop_
_atom_site_label
_atom_site_type_symbol
_atom_site_fract_x
_atom_site_fract_y
_atom_site_fract_z
Pu1 Pu 0.000 0.000 0.000
Cd1 Cd 0.250 0.250 0.250
In1 In 0.000 0.000 0.500
Ag1 Ag 0.250 0.250 0.750
```

***

Record 4
A geometry-optimized Na2SiGeS4 structure. Source: the Alexandria database, functional PBE.

Computed properties:
formation energy without anion corrections: -799 meV per atom
calculated density: 2318 kg/m³
total magnetization: 0.00 μB/f.u.
crystal system: orthorhombic

The structure in CIF format:
```
data_Na2SiGeS4
_space_group_name_H-M_alt 'P m n 21'
_space_group_IT_number 31
_cell_length_a 9.119
_cell_length_b 7.333
_cell_length_c 5.890
_cell_angle_alpha 90.00
_cell_angle_beta 90.00
_cell_angle_gamma 90.00
loop_
_space_group_symop_operation_xyz
'x,y,z'
'-x+1/2,-y,z+1/2'
'-x,y,z'
'x+1/2,-y,z+1/2'
loop_
_atom_site_label
_atom_site_type_symbol
_atom_site_fract_x
_atom_site_fract_y
_atom_site_fract_z
Na1 Na 0.247 0.174 0.000
Si1 Si 0.000 0.348 0.553
Ge1 Ge 0.000 0.689 0.021
S1 S 0.000 0.381 0.921
S2 S 0.000 0.626 0.425
S3 S 0.197 0.206 0.477
```

***

Record 5
A geometry-optimized Pr4SnTe2Se structure. Source: the Alexandria database, functional PBE.

Computed properties:
formation energy without anion corrections: -1403 meV per atom
calculated density: 6603 kg/m³
total magnetization: 0.00 μB/f.u.
crystal system: monoclinic

The structure in CIF format:
```
data_Pr4SnTe2Se
_space_group_name_H-M_alt 'P 1 2/m 1'
_space_group_IT_number 10
_cell_length_a 7.707
_cell_length_b 4.476
_cell_length_c 7.856
_cell_angle_alpha 90.00
_cell_angle_beta 109.38
_cell_angle_gamma 90.00
loop_
_space_group_symop_operation_xyz
'x,y,z'
'-x,-y,-z'
'-x,y,-z'
'x,-y,z'
loop_
_atom_site_label
_atom_site_type_symbol
_atom_site_fract_x
_atom_site_fract_y
_atom_site_fract_z
Pr1 Pr 0.239 0.000 0.230
Pr2 Pr 0.250 0.500 0.764
Sn1 Sn 0.500 0.000 0.000
Te1 Te 0.000 0.000 0.500
Te2 Te 0.500 0.500 0.500
Se1 Se 0.000 0.500 0.000
```

***

Record 6
A geometry-optimized LiYCu2Si2 structure. Source: the Alexandria database, functional PBE.

Computed properties:
formation energy without anion corrections: -477 meV per atom
calculated density: 4917 kg/m³
total magnetization: 0.00 μB/f.u.
crystal system: trigonal

The structure in CIF format:
```
data_LiYCu2Si2
_space_group_name_H-M_alt 'P -3 m 1'
_space_group_IT_number 164
_space_group_name_Hall '-P 3 2"'
_cell_length_a 4.0783
_cell_length_b 4.0783
_cell_length_c 6.5444
_cell_angle_alpha 90.00
_cell_angle_beta 90.00
_cell_angle_gamma 120.00
loop_
_atom_site_label
_atom_site_type_symbol
_atom_site_fract_x
_atom_site_fract_y
_atom_site_fract_z
Li1 Li 0.0000 0.0000 0.0000
Y1 Y 0.0000 0.0000 0.5000
Cu1 Cu 0.3333 0.6667 0.1720
Si1 Si 0.3333 0.6667 0.7849
```

***

What is the calculated density in the sixth record?
4917 kg/m³

***

Among the records above, which one has the highest total magnetization?
PuCdInAg